Record 1
The following is a DFT calculation (PBE) of a relaxed structure of AcPPd.

Calculated values
calculated total energy	-18.404	eV per cell

a b c (Å): 4.357 4.357 4.188
angles (deg): 90.00 90.00 120.00
Element x y z (fractional)
Ac 0.000 0.000 0.000
P 0.333 0.667 0.500
Pd 0.667 0.333 0.500



Record 2
The following is a DFT calculation (PBE) of a relaxed structure of YMgBiOs.

Calculated values
energy above the lowest structure with this stoichiometry	44	meV/atom

a b c (Å): 4.974 4.974 4.974
angles (deg): 60.00 60.00 60.00
Element x y z (fractional)
Y 0.000 0.000 0.000
Mg 0.500 0.500 0.500
Bi 0.750 0.750 0.750
Os 0.250 0.250 0.250



Record 3
The following is a DFT calculation (PBE) of a relaxed structure of HfSiTcNi.

Calculated values
energy above the lowest structure with this stoichiometry	0	meV/atom

a b c (Å): 4.332 4.332 4.332
angles (deg): 60.00 60.00 60.00
Element x y z (fractional)
Hf 0.000 0.000 0.000
Si 0.500 0.500 0.500
Tc 0.250 0.250 0.250
Ni 0.750 0.750 0.750



Record 4
The following is a DFT calculation (PBE) of a relaxed structure of Hf4CuNiN2.

Calculated values
energy above the lowest structure with this stoichiometry	0	meV/atom

a b c (Å): 3.202 3.202 13.235
angles (deg): 90.00 90.00 120.00
Element x y z (fractional)
Hf 0.000 0.000 0.146
Hf 0.000 0.000 0.854
Hf 0.333 0.667 0.343
Hf 0.333 0.667 0.657
Cu 0.000 0.000 0.500
Ni 0.333 0.667 0.000
N 0.667 0.333 0.246
N 0.667 0.333 0.754



Record 5
The following is a DFT calculation (PBE) of a relaxed structure of Hf5Al4.

Calculated values
calculated total energy	-135.414	eV per cell

a b c (Å): 8.336 8.336 5.767
angles (deg): 90.00 90.00 120.00
Element x y z (fractional)
Hf 0.000 0.290 0.250
Hf 0.000 0.710 0.750
Hf 0.290 0.000 0.250
Hf 0.290 0.290 0.750
Hf 0.333 0.667 0.000
Hf 0.333 0.667 0.500
Hf 0.667 0.333 0.000
Hf 0.667 0.333 0.500
Hf 0.710 0.000 0.750
Hf 0.710 0.710 0.250
Al 0.000 0.000 0.000
Al 0.000 0.000 0.500
Al 0.000 0.373 0.750
Al 0.000 0.627 0.250
Al 0.373 0.000 0.750
Al 0.373 0.373 0.250
Al 0.627 0.000 0.250
Al 0.627 0.627 0.750



Record 6
The following is a DFT calculation (PBE) of a relaxed structure of HfBiB4.

Calculated values
energy above the lowest structure with this stoichiometry	0	meV/atom

a b c (Å): 3.173 3.173 8.318
angles (deg): 90.00 90.00 120.00
Element x y z (fractional)
Hf 0.000 0.000 0.000
Bi 0.000 0.000 0.500
B 0.333 0.667 0.202
B 0.333 0.667 0.798
B 0.667 0.333 0.202
B 0.667 0.333 0.798



Record 7
The following is a DFT calculation (PBE) of a relaxed structure of ErTm3Tl2C2.

Calculated values
calculated total energy	-44.491	eV per cell

a b c (Å): 3.564 3.564 16.059
angles (deg): 90.00 90.00 120.00
Element x y z (fractional)
Er 0.000 0.000 0.000
Tm 0.000 0.000 0.335
Tm 0.333 0.667 0.500
Tm 0.333 0.667 0.834
Tl 0.000 0.000 0.667
Tl 0.333 0.667 0.168
C 0.667 0.333 0.417
C 0.667 0.333 0.917



Record 8
The following is a DFT calculation (PBE) of a relaxed structure of Zr2NbAl.

Calculated values
calculated total energy	-31.172	eV per cell

a b c (Å): 4.815 4.815 4.815
angles (deg): 60.00 60.00 60.00
Element x y z (fractional)
Zr 0.000 0.000 0.000
Zr 0.250 0.250 0.250
Nb 0.750 0.750 0.750
Al 0.500 0.500 0.500



Record 9
The following is a DFT calculation (PBE) of a relaxed structure of Pr3SbTe2.

Calculated values
calculated total energy	-33.053	eV per cell

a b c (Å): 4.543 4.543 11.114
angles (deg): 90.00 90.00 120.00
Element x y z (fractional)
Pr 0.000 0.000 0.000
Pr 0.333 0.667 0.339
Pr 0.667 0.333 0.661
Sb 0.000 0.000 0.500
Te 0.333 0.667 0.833
Te 0.667 0.333 0.167



Record 10
The following is a DFT calculation (PBE) of a relaxed structure of SrZn2Tc.

Calculated values
calculated total energy	-11.961	eV per cell

a b c (Å): 4.794 4.794 4.794
angles (deg): 60.00 60.00 60.00
Element x y z (fractional)
Sr 0.000 0.000 0.000
Zn 0.250 0.250 0.250
Zn 0.500 0.500 0.500
Tc 0.750 0.750 0.750



Record 11
The following is a DFT calculation (PBE) of a relaxed structure of LaCu2S4.

Calculated values
calculated total energy	-68.994	eV per cell

a b c (Å): 7.556 7.556 7.033
angles (deg): 116.84 116.84 98.63
Element x y z (fractional)
La 0.126 0.874 0.750
La 0.874 0.126 0.250
Cu 0.000 0.500 0.000
Cu 0.500 0.000 0.500
Cu 0.500 0.500 0.000
Cu 0.500 0.500 0.500
S 0.149 0.295 0.816
S 0.174 0.530 0.375
S 0.295 0.149 0.316
S 0.470 0.826 0.125
S 0.530 0.174 0.875
S 0.705 0.851 0.684
S 0.826 0.470 0.625
S 0.851 0.705 0.184



Record 12
The following is a DFT calculation (PBE) of a relaxed structure of DyYTm6.

Calculated values
calculated total energy	-37.908	eV per cell

a b c (Å): 7.148 7.148 5.566
angles (deg): 90.00 90.00 120.00
Element x y z (fractional)
Dy 0.000 0.000 0.000
Y 0.333 0.667 0.500
Tm 0.334 0.167 0.500
Tm 0.501 0.001 0.000
Tm 0.501 0.499 0.000
Tm 0.833 0.167 0.500
Tm 0.833 0.666 0.500
Tm 0.999 0.499 0.000